Record 1
Here is Pr4SiAs2Se after structural relaxation from Alexandria. Energies are from PBE.

a = 7.451 Å, b = 4.287 Å, c = 7.466 Å
α = 90.00°, β = 109.32°, γ = 90.00°
Fractional positions:
Pr 0.246 0.000 0.243
Pr 0.249 0.500 0.752
Pr 0.751 0.500 0.248
Pr 0.754 0.000 0.757
Si 0.500 0.000 0.000
As 0.000 0.000 0.500
As 0.000 0.500 0.000
Se 0.500 0.500 0.500

calculated volume = 28.13 Å³ per atom
E_form (uncorrected) = -1.402 eV per atom
size of the total moment = 0.00 μB per cell

Record 2
Here is Pr6SiAs2Se3 after structural relaxation from Alexandria. Energies are from PBE.

a = 9.631 Å, b = 9.631 Å, c = 8.609 Å
α = 103.21°, β = 103.21°, γ = 25.76°
Fractional positions:
Pr 0.001 0.001 0.241
Pr 0.331 0.331 0.423
Pr 0.338 0.338 0.914
Pr 0.662 0.662 0.086
Pr 0.669 0.669 0.577
Pr 0.999 0.999 0.759
Si 0.500 0.500 0.000
As 0.167 0.167 0.334
As 0.833 0.833 0.666
Se 0.168 0.168 0.832
Se 0.500 0.500 0.500
Se 0.832 0.832 0.168

calculated volume = 28.12 Å³ per atom
E_form (uncorrected) = -1.598 eV per atom
size of the total moment = 0.00 μB per cell

Record 3
Here is PrSmAsSe after structural relaxation from Alexandria. Energies are from PBE.

a = 7.391 Å, b = 7.391 Å, c = 7.391 Å
α = 33.30°, β = 33.30°, γ = 33.30°
Fractional positions:
Pr 0.000 0.000 0.000
Sm 0.493 0.493 0.493
As 0.748 0.748 0.748
Se 0.244 0.244 0.244

calculated volume = 27.08 Å³ per atom
E_form (uncorrected) = -1.731 eV per atom
size of the total moment = 0.00 μB per cell

Record 4
Here is Pr4SnAsSe2 after structural relaxation from Alexandria. Energies are from PBE.

a = 7.547 Å, b = 4.368 Å, c = 7.577 Å
α = 90.00°, β = 109.50°, γ = 90.00°
Fractional positions:
Pr 0.245 0.000 0.242
Pr 0.252 0.500 0.757
Pr 0.748 0.500 0.243
Pr 0.755 0.000 0.758
Sn 0.000 0.000 0.500
As 0.000 0.500 0.000
Se 0.500 0.000 0.000
Se 0.500 0.500 0.500

calculated volume = 29.43 Å³ per atom
E_form (uncorrected) = -1.502 eV per atom
size of the total moment = 0.00 μB per cell

Record 5
Here is Pr4SnAs2Se after structural relaxation from Alexandria. Energies are from PBE.

a = 7.581 Å, b = 4.321 Å, c = 7.604 Å
α = 90.00°, β = 109.09°, γ = 90.00°
Fractional positions:
Pr 0.240 0.000 0.237
Pr 0.252 0.500 0.762
Pr 0.748 0.500 0.238
Pr 0.760 0.000 0.763
Sn 0.500 0.500 0.500
As 0.000 0.500 0.000
As 0.500 0.000 0.000
Se 0.000 0.000 0.500

calculated volume = 29.42 Å³ per atom
E_form (uncorrected) = -1.403 eV per atom
size of the total moment = 0.00 μB per cell

Record 6
Here is SrPrAsSe after structural relaxation from Alexandria. Energies are from PBE.

a = 7.662 Å, b = 7.662 Å, c = 7.662 Å
α = 33.22°, β = 33.22°, γ = 33.22°
Fractional positions:
Sr 0.000 0.000 0.000
Pr 0.493 0.493 0.493
As 0.754 0.754 0.754
Se 0.245 0.245 0.245

calculated volume = 30.05 Å³ per atom
E_form (uncorrected) = -1.701 eV per atom
size of the total moment = 0.00 μB per cell

Record 7
Here is TbPrAsSe after structural relaxation from Alexandria. Energies are from PBE.

a = 7.335 Å, b = 7.335 Å, c = 7.335 Å
α = 33.23°, β = 33.23°, γ = 33.23°
Fractional positions:
Tb 0.000 0.000 0.000
Pr 0.492 0.492 0.492
As 0.742 0.742 0.742
Se 0.250 0.250 0.250

calculated volume = 26.37 Å³ per atom
E_form (uncorrected) = -1.723 eV per atom
size of the total moment = 0.00 μB per cell

Record 8
Here is Pr6Te2AsSe3 after structural relaxation from Alexandria. Energies are from PBE.

a = 9.760 Å, b = 9.760 Å, c = 8.805 Å
α = 102.60°, β = 102.60°, γ = 25.63°
Fractional positions:
Pr 0.005 0.005 0.262
Pr 0.340 0.340 0.434
Pr 0.342 0.342 0.897
Pr 0.658 0.658 0.103
Pr 0.660 0.660 0.566
Pr 0.995 0.995 0.738
Te 0.168 0.168 0.839
Te 0.832 0.832 0.161
As 0.500 0.500 0.500
Se 0.170 0.170 0.339
Se 0.500 0.500 0.000
Se 0.830 0.830 0.661

calculated volume = 29.47 Å³ per atom
E_form (uncorrected) = -1.674 eV per atom
size of the total moment = 0.00 μB per cell